Computed, not measured: crystalline RbAl2BBr at its relaxed geometry at the PBE-GGA level of DFT. Values from VASP.

```
&SYSTEM
  ibrav = 0, nat = 5, ntyp = 4
/
ATOMIC_SPECIES
B 10.81 B.upf
Br 79.90 Br.upf
Rb 85.47 Rb.upf
Al 26.98 Al.upf
ATOMIC_POSITIONS crystal
B 0.000 0.500 0.000
Br 0.000 0.000 0.000
Rb 0.500 0.500 0.500
Al 0.000 0.000 0.500
Al 0.500 0.000 0.000
CELL_PARAMETERS angstrom
5.644 0.000 0.000
0.000 5.246 0.000
0.000 0.000 5.644
```

Results
Its density of states at the Fermi level is 3.42 states/eV/cell. The uncorrected formation energy comes out at 1210 meV per atom. The magnetization comes out at 0.00 μB per formula unit.

***

Computed, not measured: crystalline BaCu2TeO at its relaxed geometry at the PBE-GGA level of DFT. Values from VASP.

```
&SYSTEM
  ibrav = 0, nat = 10, ntyp = 4
/
ATOMIC_SPECIES
Ba 137.33 Ba.upf
Cu 63.55 Cu.upf
Te 127.60 Te.upf
O 16.00 O.upf
ATOMIC_POSITIONS crystal
Ba 0.457 0.913 0.750
Ba 0.543 0.087 0.250
Cu 0.150 0.301 0.927
Cu 0.850 0.699 0.073
Cu 0.150 0.301 0.573
Cu 0.850 0.699 0.427
Te 0.732 0.463 0.750
Te 0.268 0.537 0.250
O 0.000 0.000 0.000
O 0.000 0.000 0.500
CELL_PARAMETERS angstrom
4.185 0.000 0.000
-2.093 6.407 0.000
0.000 0.000 7.362
```

Results
Its density of states at the Fermi level is 0.22 states/eV/cell. The uncorrected formation energy comes out at -990 meV per atom. The magnetization comes out at 0.00 μB per formula unit.

***

Computed, not measured: crystalline KYTlPb at its relaxed geometry at the PBE-GGA level of DFT. Values from VASP.

```
&SYSTEM
  ibrav = 0, nat = 4, ntyp = 4
/
ATOMIC_SPECIES
Pb 207.20 Pb.upf
Y 88.91 Y.upf
Tl 204.38 Tl.upf
K 39.10 K.upf
ATOMIC_POSITIONS crystal
Pb 0.500 0.500 0.500
Y 0.750 0.750 0.750
Tl 0.000 0.000 0.000
K 0.250 0.250 0.250
CELL_PARAMETERS angstrom
5.618 0.000 0.000
2.809 4.866 0.000
2.809 1.622 4.587
```

Results
Its density of states at the Fermi level is 3.23 states/eV/cell. For the formation enthalpy at 0 K, the calculation gives -0.48 eV per formula unit. The magnetization comes out at 0.00 μB per formula unit.